1.
Here is a relaxed VAsCl2 crystal from the Alexandria database. Energies are from PBE.

## Properties
The total magnetization is 7.6 Bohr magnetons per cell. For the formation energy without anion corrections, the calculation gives -0.32 eV/atom. The relative energy among the computed polymorphs comes out at 3.42 kJ/mol of atoms.

Lattice parameters (Å, degrees): 8.778 8.778 4.858 90.00 90.00 90.00
Space group I-42d (No. 122)
Symmetry-distinct sites (fractional):
V  0.000  0.000  0.000
As  0.000  0.000  0.500
Cl  0.102  0.250  0.125

***

2.
Here is a relaxed Fe2Ni3Pt crystal from the Alexandria database. Energies are from PBE.

## Properties
The total magnetization is 62.8 Bohr magnetons per cell. The relative energy among the computed polymorphs comes out at 14.51 kJ/mol of atoms.

Lattice parameters (Å, degrees): 7.701 7.701 10.220 90.00 90.00 90.00
Space group I4_1/amd (No. 141, origin choice 2)
Symmetry-distinct sites (fractional):
Fe  0.000  0.078  0.278
Ni  0.000  0.000  0.500
Ni  0.213  0.037  0.875
Pt  0.000  0.250  0.054

***

3.
Here is a relaxed Na3Tc2N4 crystal from the Alexandria database. Energies are from PBE.

## Properties
The total magnetization is 0.0 Bohr magnetons per cell. For the formation energy without anion corrections, the calculation gives -0.13 eV/atom.

Lattice parameters (Å, degrees): 11.553 3.415 8.855 90.00 128.72 90.00
Space group C2/m (No. 12)
Symmetry-distinct sites (fractional):
Na  0.000  0.000  0.000
Na  0.116  0.500  0.788
Tc  0.209  0.500  0.360
N  0.108  0.000  0.352
N  0.213  0.500  0.163

***

4.
Here is a relaxed K17Na11Sn crystal from the Alexandria database. Energies are from PBE.

## Properties
The total magnetization is 0.0 Bohr magnetons per cell. For the raw total energy, the calculation gives -37.095 eV per formula unit.

Lattice parameters (Å, degrees): 14.655 20.176 12.489 90.00 121.25 90.00
Space group Cm (No. 8)
Symmetry-distinct sites (fractional):
K  0.000  0.000  0.000
K  0.002  0.376  0.372
K  0.146  0.172  0.566
K  0.169  0.171  0.996
K  0.174  0.500  0.285
K  0.181  0.500  0.697
K  0.271  0.292  0.323
K  0.370  0.000  0.659
K  0.432  0.116  0.994
K  0.483  0.500  0.353
K  0.488  0.199  0.698
Na  0.166  0.000  0.821
Na  0.223  0.408  0.013
Na  0.231  0.084  0.308
Na  0.318  0.315  0.827
Na  0.402  0.408  0.633
Na  0.476  0.311  0.172
Sn  0.310  0.000  0.132

***

5.
Here is a relaxed FePS2I crystal from the Alexandria database. Energies are from PBE.

## Properties
The total magnetization is 4.3 Bohr magnetons per cell. For the formation energy without anion corrections, the calculation gives 1.54 eV/atom. The relative energy among the computed polymorphs comes out at 104.69 kJ/mol of atoms.

Lattice parameters (Å, degrees): 5.021 5.021 5.196 90.00 90.00 90.00
Space group P4/mmm (No. 123)
Symmetry-distinct sites (fractional):
Fe  0.000  0.000  0.000
P  0.500  0.500  0.000
S  0.000  0.500  0.500
I  0.500  0.500  0.500

***

6.
Here is a relaxed TbMgZn2Ga2 crystal from the Alexandria database. Energies are from PBE.

## Properties
The total magnetization is 0.0 Bohr magnetons per cell. For the raw total energy, the calculation gives -17.274 eV per formula unit.

Lattice parameters (Å, degrees): 4.3735 4.3735 6.8471 90.00 90.00 120.00
Space group P-3m1 (No. 164)
Symmetry-distinct sites (fractional):
Tb  0.0000  0.0000  0.0000
Mg  0.0000  0.0000  0.5000
Zn  0.3333  0.6667  0.7269
Ga  0.3333  0.6667  0.2532

***

What did the fifth record say?
Here is a relaxed FePS2I crystal from the Alexandria database. Energies are from PBE.

## Properties
The total magnetization is 4.3 Bohr magnetons per cell. For the formation energy without anion corrections, the calculation gives 1.54 eV/atom. The relative energy among the computed polymorphs comes out at 104.69 kJ/mol of atoms.

Lattice parameters (Å, degrees): 5.021 5.021 5.196 90.00 90.00 90.00
Space group P4/mmm (No. 123)
Symmetry-distinct sites (fractional):
Fe  0.000  0.000  0.000
P  0.500  0.500  0.000
S  0.000  0.500  0.500
I  0.500  0.500  0.500

***

Among the records above, which one has the highest total magnetization? Fe2Ni3Pt

***

What is the total magnetization in the second record? 62.8 Bohr magnetons per cell

***

Among the records above, which one has the highest total magnetization? Fe2Ni3Pt